Run 1
VASP calculation (PBE) on a geometry-optimized Nd2Y2Ir3 structure.

For the volume, the calculation gives 23.92 Å³ per atom.

The structure belongs to space group R-3m (No. 166, hexagonal axes); the cell edges are 4.8661, 4.8661 and 24.4779 Å and the angles 90.00°, 90.00° and 120.00°. The asymmetric unit holds Nd at (0.0000, 0.0000, 0.1240), Y at (0.0000, 0.0000, 0.3738), Ir at (0.0000, 0.0000, 0.0000) and Ir at (0.0000, 0.0000, 0.2521).

***

Run 2
VASP calculation (PBE) on a geometry-optimized Nd2Y2Ir3 structure.

For the volume, the calculation gives 26.49 Å³ per atom.

The structure belongs to space group P-1 (No. 2); the cell edges are 4.494, 5.983 and 7.539 Å and the angles 98.64°, 90.07° and 112.03°. The asymmetric unit holds Nd at (0.136, 0.270, 0.356), Y at (0.360, 0.721, 0.065), Ir at (0.000, 0.000, 0.000) and Ir at (0.190, 0.380, 0.736).

***

Least stable structure: run 2

***

Run 1
VASP calculation (PBE) on a geometry-optimized NdYIr structure.

For the volume, the calculation gives 25.50 Å³ per atom.

The structure belongs to space group Amm2 (No. 38); the cell edges are 4.654, 13.060 and 7.553 Å and the angles 90.00°, 90.00° and 90.00°. The asymmetric unit holds Nd at (0.000, 0.000, 0.000), Nd at (0.000, 0.205, 0.386), Y at (0.500, 0.000, 0.330), Y at (0.500, 0.130, 0.721), Ir at (0.000, 0.000, 0.591) and Ir at (0.500, 0.167, 0.090).

***

Run 2
VASP calculation (PBE) on a geometry-optimized NdYIr structure.

For the volume, the calculation gives 28.54 Å³ per atom.

The structure belongs to space group Fdd2 (No. 43); the cell edges are 11.513, 13.319 and 8.935 Å and the angles 90.00°, 90.00° and 90.00°. The asymmetric unit holds Nd at (0.106, 0.352, 0.000), Y at (0.033, 0.371, 0.586) and Ir at (0.052, 0.273, 0.302).

***

Least stable structure: run 1